A relaxed structure of Rb3WBr2F6. Source: Alexandria via LeMat-Bulk, functional GGA+U.

The structure in extended XYZ format:
```
12
Lattice="5.2756 0.0000 0.2106 0.0000 8.0877 0.0000 -0.5930 -4.0438 8.3951" Properties=species:S:1:pos:R:3 pbc="T T T"
W 2.6378 0.0000 0.1053
F 0.7990 2.6156 8.1264
F 0.7990 -2.6156 8.1264
Rb 0.0000 4.0438 0.0000
F 2.1735 0.0000 2.0196
F 3.8836 6.6595 0.4793
F 3.8836 1.4282 0.4793
F 2.5091 4.0438 6.5862
Rb 2.3413 -2.0219 4.3029
Br 5.0382 4.0438 3.5015
Rb 2.3413 2.0219 4.3029
Br -0.3556 0.0000 5.1042
```

* space group: C2/m (12)
* N(E_F): 0.000 states/eV/f.u.
* spin magnetization: 1.0 Bohr magnetons per cell
* calculated density: 3.30 Mg/m³
* VASP energy: -53.95 eV per cell